Material: CeGe2PRu2
Method: DFT, GGA-PBE
State: relaxed

Calculated values
Energy of formation from the pure elements: -397 meV/atom

Cell: 4.461 4.461 5.542 Å, 90.00 90.00 90.00°
Space group P4/mmm (No. 123)
Unique sites:
Ce 0.000 0.000 0.000 x1
Ge 0.500 0.500 0.224 x2
P 0.000 0.000 0.500 x1
Ru 0.000 0.500 0.500 x2

Material: Ce6PuAgAu2
Method: DFT, GGA-PBE
State: relaxed

Calculated values
Energy of formation from the pure elements: -260 meV/atom

Cell: 12.400 7.300 7.446 Å, 90.00 122.87 90.00°
Space group C2/m (No. 12)
Unique sites:
Ce 0.071 0.235 0.352 x8
Ce 0.213 0.000 0.834 x4
Pu 0.000 0.000 0.500 x2
Ag 0.000 0.500 0.000 x2
Au 0.238 0.500 0.726 x4

Material: TcS
Method: DFT, GGA-PBE
State: relaxed

Calculated values
Distance to the lowest polymorph of the same formula: 0.2209 eV/atom
Formation energy (no corrections): -0.3 eV/f.u.

Cell: 10.197 10.197 3.065 Å, 90.00 90.00 90.00°
Space group I4/m (No. 87)
Unique sites:
Tc 0.139 0.263 0.000 x8
S 0.087 0.713 0.000 x8

Material: SrCdAu4
Method: DFT, GGA-PBE
State: relaxed

Calculated values
Energy of formation from the pure elements: -361 meV/atom
Distance to the lowest polymorph of the same formula: 0.0576 eV/atom

Cell: 9.405 16.619 3.676 Å, 90.00 90.00 90.00°
Space group Pbam (No. 55)
Unique sites:
Sr 0.123 0.144 0.000 x4
Cd 0.137 0.414 0.000 x4
Au 0.009 0.295 0.500 x4
Au 0.117 0.556 0.500 x4
Au 0.132 0.972 0.500 x4
Au 0.202 0.808 0.500 x4